An optimized crystal structure of Tb3Pr2Sc2, computed with GGA-PBE.

Computed properties:
The calculation puts the formation enthalpy at 0 K at 0.691 eV per formula unit. Its energy relative to the lowest polymorph listed for this composition is 48.7 meV per atom. As for the symmetry: Cmmm.

a = 3.4803 Å, b = 3.4911 Å, c = 18.1169 Å
α = 90.00°, β = 95.51°, γ = 90.00°
Last column: nearest neighbours and their distance in Å.
Fractional positions:
Sc: 0.8631 0.0000 0.7262  4 Tb 3.42, 4 Sc 3.48-3.49, 4 Pr 3.50
Tb: 0.4289 0.5000 0.8578  4 Sc 3.42, 8 Tb 3.48-3.56
Pr: 0.2943 0.5000 0.5887  6 Pr 3.48-3.64, 4 Sc 3.50
Tb: 0.0000 0.0000 0.0000  12 Tb 3.48-3.56
Pr: 0.7057 0.5000 0.4113  6 Pr 3.48-3.64, 4 Sc 3.50
Tb: 0.5711 0.5000 0.1422  4 Sc 3.42, 8 Tb 3.48-3.56
Sc: 0.1369 0.0000 0.2738  4 Tb 3.42, 4 Sc 3.48-3.49, 4 Pr 3.50

=====

An optimized crystal structure of Ce2GaCu6, computed with GGA-PBE.

Computed properties:
The calculation puts the formation enthalpy at 0 K at -1.423 eV per formula unit. As for the symmetry: P-3m1.

a = 5.8667 Å, b = 5.4313 Å, c = 5.4326 Å
α = 119.99°, β = 89.99°, γ = 90.00°
Last column: nearest neighbours and their distance in Å.
Fractional positions:
Cu: 0.6580 0.1767 0.8232  4 Cu 2.49-2.55, 1 Ga 2.61
Cu: 0.3420 0.3535 0.1768  4 Cu 2.49-2.55, 1 Ga 2.61
Cu: 0.3419 0.8230 0.6459  4 Cu 2.49-2.55, 1 Ga 2.61
Ce: 0.1536 0.3334 0.6668  9 Cu 2.93-3.26, 3 Ga 3.26
Cu: 0.3420 0.8233 0.1768  4 Cu 2.49-2.55, 1 Ga 2.61
Ga: 0.0000 0.0000 0.0000  6 Cu 2.61
Ce: 0.8464 0.6666 0.3332  9 Cu 2.93-3.26, 3 Ga 3.26
Cu: 0.6581 0.1770 0.3541  4 Cu 2.49-2.55, 1 Ga 2.61
Cu: 0.6580 0.6465 0.8232  4 Cu 2.49-2.55, 1 Ga 2.61

=====

An optimized crystal structure of SmBeGa2Rh2, computed with GGA-PBE.

Computed properties:
The calculation puts the formation enthalpy at 0 K at -3.888 eV per formula unit. As for the symmetry: P4/mmm.

a = 4.2347 Å, b = 4.2347 Å, c = 5.6315 Å
α = 90.00°, β = 90.00°, γ = 90.00°
Last column: nearest neighbours and their distance in Å.
Fractional positions:
Rh: 0.0000 0.5000 0.0000  2 Be 2.12
Sm: 0.0000 0.0000 0.5000  2 Be 2.82
Rh: 0.5000 0.0000 0.0000  2 Be 2.12
Ga: 0.5000 0.5000 0.7305  1 Ga 2.60, 4 Rh 2.61
Be: 0.0000 0.0000 0.0000  4 Rh 2.12
Ga: 0.5000 0.5000 0.2695  1 Ga 2.60, 4 Rh 2.61

=====

An optimized crystal structure of CaHoHgSb, computed with GGA-PBE.

Computed properties:
The uncorrected formation energy comes out at -0.605 eV per atom. As for the symmetry: F-43m.

a = 5.3420 Å, b = 5.3420 Å, c = 5.3420 Å
α = 60.00°, β = 60.00°, γ = 60.00°
Last column: nearest neighbours and their distance in Å.
Fractional positions:
Ho: 0.2500 0.2500 0.2500  4 Hg 3.27, 4 Sb 3.27
Sb: 0.0000 0.0000 0.0000  4 Ho 3.27, 4 Ca 3.27
Ca: 0.7500 0.7500 0.7500  4 Sb 3.27, 4 Hg 3.27
Hg: 0.5000 0.5000 0.5000  4 Ca 3.27, 4 Ho 3.27

=====

An optimized crystal structure of AgPb2Cl, computed with GGA-PBE.

Computed properties:
The uncorrected formation energy comes out at -0.090 eV per atom. As for the symmetry: I-4m2.

a = 6.7008 Å, b = 6.7008 Å, c = 6.7008 Å
α = 142.68°, β = 142.68°, γ = 53.80°
Last column: nearest neighbours and their distance in Å.
Fractional positions:
Pb: 0.2500 0.7500 0.5000  4 Cl 3.03
Cl: 0.7500 0.2500 0.5000  4 Pb 3.03
Pb: 0.0000 0.0000 0.0000  4 Ag 3.03
Ag: 0.5000 0.5000 0.0000  4 Pb 3.03

=====

An optimized crystal structure of Rb2AlW, computed with GGA-PBE.

Computed properties:
The calculation puts the formation enthalpy at 0 K at 5.604 eV per formula unit. As for the symmetry: I-42d.

a = 13.8004 Å, b = 13.8004 Å, c = 10.0865 Å
α = 46.83°, β = 46.83°, γ = 90.00°
Last column: nearest neighbours and their distance in Å.
Fractional positions:
Al: 0.2500 0.7500 0.5000  2 W 2.55
W: 0.7500 0.2500 0.5000  2 Al 2.55
Al: 0.5000 0.5000 0.0000  2 W 2.55
W: 0.0000 0.0000 0.0000  2 Al 2.55
Rb: 0.8718 0.1250 0.2500  2 W 3.51
Rb: 0.8750 0.1218 0.7500  2 W 3.51
Rb: 0.8782 0.6250 0.2500  2 W 3.51
Rb: 0.3750 0.1282 0.7500  2 W 3.51

=====

Here are the calculated volume numbers, same order: 31.30, 16.66, 16.83, 26.95, 27.46, 60.74 (Å³ per atom).